CrPbO2 | GGA+U | relaxed

Total magnetization: 2.98 μB per formula unit
Total energy: -6.69 eV per atom

abc: 7.024 7.024 7.024
angles: 25.73 25.73 25.73
Last column: magnetic moment on the atom in μB.
Atoms (fractional coordinates):
Pb (0.000, 0.000, 0.000)  0.00
Cr (0.500, 0.500, 0.500)  3.03
O (0.881, 0.881, 0.881)  -0.06
O (0.119, 0.119, 0.119)  -0.06